No. 1
Entry from Alexandria: Gd2TiZn after structural relaxation (GGA-PBE).

The structure in POSCAR format:
```
Gd2TiZn
1.0
5.068 0.000 0.000
0.000 5.068 0.000
0.000 0.000 3.751
Gd Ti Zn
2 1 1
Cartesian
0.000 2.534 0.000 Gd
2.534 0.000 0.000 Gd
0.000 0.000 1.875 Ti
2.534 2.534 1.875 Zn
```

Output
final energy	-9.31	eV per atom
symmetry	P4/mmm (123)
calculated density	7.4	g/cm3

***

No. 2
Entry from Alexandria: Gd2TiZn after structural relaxation (GGA-PBE).

The structure in POSCAR format:
```
Gd2TiZn
1.0
3.388 0.000 0.000
0.000 3.388 0.000
0.000 0.000 8.307
Gd Ti Zn
2 1 1
Cartesian
0.000 0.000 2.008 Gd
0.000 0.000 6.299 Gd
1.694 1.694 4.154 Ti
1.694 1.694 0.000 Zn
```

Output
final energy	-9.35	eV per atom
symmetry	P4/mmm (123)
calculated density	7.5	g/cm3